# 1
First-principles (SCAN) data for a crystal of CoHgSb3 relaxed with PBEsol, as listed in Alexandria.

Calculated values
- raw formation energy (meV per atom) = 1326
- total energy (eV per atom) = -38.12
- density of states at the Fermi level (states/eV/cell) = 4.6

a = 5.4061 Å, b = 5.4061 Å, c = 5.4061 Å
α = 90.00°, β = 90.00°, γ = 90.00°
Closest atoms and distances in Å follow each position.
Fractional coordinates of all 5 atoms:
1 Co 0.0000 0.0000 0.0000  12 Sb 3.82
2 Hg 0.5000 0.5000 0.5000  6 Sb 2.70
3 Sb 0.0000 0.5000 0.5000  2 Hg 2.70
4 Sb 0.5000 0.0000 0.5000  2 Hg 2.70
5 Sb 0.5000 0.5000 0.0000  2 Hg 2.70

=====

# 2
First-principles (SCAN) data for a crystal of Sc2BiIrW relaxed with PBEsol, as listed in Alexandria.

Calculated values
- total energy (eV per atom) = -47.88
- energy of formation from the pure elements (meV/atom) = 1685
- density of states at the Fermi level (states/eV/cell) = 4.3

a = 5.1874 Å, b = 5.1874 Å, c = 4.8521 Å
α = 90.00°, β = 90.00°, γ = 90.00°
Closest atoms and distances in Å follow each position.
Fractional coordinates of all 5 atoms:
1 Sc 0.0000 0.5000 0.0000  2 Bi 2.59
2 Sc 0.5000 0.0000 0.0000  2 Bi 2.59
3 Bi 0.0000 0.0000 0.0000  2 Ir 2.43, 4 Sc 2.59
4 Ir 0.0000 0.0000 0.5000  2 Bi 2.43
5 W 0.5000 0.5000 0.5000  8 Sc 3.55, 4 Ir 3.67

=====

# 3
First-principles (SCAN) data for a crystal of CaSc2S4 relaxed with PBEsol, as listed in Alexandria.

Calculated values
- raw formation energy (meV per atom) = -2268
- total energy (eV per atom) = -13.22
- density of states at the Fermi level (states/eV/cell) = 0.0

a = 11.3750 Å, b = 3.6940 Å, c = 13.3656 Å
α = 90.00°, β = 90.00°, γ = 90.00°
Closest atoms and distances in Å follow each position.
Fractional coordinates of all 28 atoms:
1 Ca 0.2393 0.2500 0.1676  8 S 2.88-3.15
2 Ca 0.2607 0.7500 0.6676  8 S 2.88-3.15
3 Ca 0.7393 0.2500 0.3324  8 S 2.88-3.15
4 Ca 0.7607 0.7500 0.8324  8 S 2.88-3.15
5 Sc 0.0583 0.2500 0.3888  6 S 2.53-2.59
6 Sc 0.0852 0.2500 0.9037  6 S 2.51-2.60
7 Sc 0.4148 0.7500 0.4037  6 S 2.51-2.60
8 Sc 0.4417 0.7500 0.8888  6 S 2.53-2.59
9 Sc 0.5583 0.2500 0.1112  6 S 2.53-2.59
10 Sc 0.5852 0.2500 0.5963  6 S 2.51-2.60
11 Sc 0.9148 0.7500 0.0963  6 S 2.51-2.60
12 Sc 0.9417 0.7500 0.6112  6 S 2.53-2.59
13 S 0.0316 0.7500 0.7849  3 Sc 2.51-2.54
14 S 0.0923 0.2500 0.5760  3 Sc 2.53-2.56
15 S 0.1274 0.7500 0.0328  3 Sc 2.56-2.57
16 S 0.2027 0.7500 0.3304  3 Sc 2.59-2.60, 2 Ca 2.89
17 S 0.2973 0.2500 0.8304  3 Sc 2.59-2.60, 2 Ca 2.89
18 S 0.3726 0.2500 0.5328  3 Sc 2.56-2.57
19 S 0.4077 0.7500 0.0760  3 Sc 2.53-2.56
20 S 0.4684 0.2500 0.2849  3 Sc 2.51-2.54
21 S 0.5316 0.7500 0.7151  3 Sc 2.51-2.54
22 S 0.5923 0.2500 0.9240  3 Sc 2.53-2.56
23 S 0.6274 0.7500 0.4672  3 Sc 2.56-2.57
24 S 0.7027 0.7500 0.1696  3 Sc 2.59-2.60, 2 Ca 2.89
25 S 0.7973 0.2500 0.6696  3 Sc 2.59-2.60, 2 Ca 2.89
26 S 0.8726 0.2500 0.9672  3 Sc 2.56-2.57
27 S 0.9077 0.7500 0.4240  3 Sc 2.53-2.56
28 S 0.9684 0.2500 0.2151  3 Sc 2.51-2.54

=====

# 4
First-principles (SCAN) data for a crystal of Sr5Sb3 relaxed with PBEsol, as listed in Alexandria.

Calculated values
- raw formation energy (meV per atom) = -1115
- ΔE to the lowest computed polymorph (meV per atom) = 4.2
- total energy (eV per atom) = -29.01

a = 13.2257 Å, b = 9.9842 Å, c = 8.6705 Å
α = 90.00°, β = 90.00°, γ = 90.00°
Closest atoms and distances in Å follow each position.
Fractional coordinates of all 32 atoms:
1 Sr 0.0035 0.2500 0.0357  5 Sb 3.37-3.43
2 Sr 0.0813 0.0395 0.6888  4 Sb 3.18-3.47
3 Sr 0.0813 0.4605 0.6888  4 Sb 3.18-3.47
4 Sr 0.2034 0.7500 0.3438  5 Sb 3.21-3.60
5 Sr 0.2255 0.2500 0.3182  5 Sb 3.30-3.51
6 Sr 0.2745 0.7500 0.8182  5 Sb 3.30-3.51
7 Sr 0.2966 0.2500 0.8438  5 Sb 3.21-3.60
8 Sr 0.4187 0.5395 0.1888  4 Sb 3.18-3.47
9 Sr 0.4187 0.9605 0.1888  4 Sb 3.18-3.47
10 Sr 0.4965 0.7500 0.5357  5 Sb 3.37-3.43
11 Sr 0.5035 0.2500 0.4643  5 Sb 3.37-3.43
12 Sr 0.5813 0.0395 0.8112  4 Sb 3.18-3.47
13 Sr 0.5813 0.4605 0.8112  4 Sb 3.18-3.47
14 Sr 0.7034 0.7500 0.1562  5 Sb 3.21-3.60
15 Sr 0.7255 0.2500 0.1818  5 Sb 3.30-3.51
16 Sr 0.7745 0.7500 0.6818  5 Sb 3.30-3.51
17 Sr 0.7966 0.2500 0.6562  5 Sb 3.21-3.60
18 Sr 0.9187 0.5395 0.3112  4 Sb 3.18-3.47
19 Sr 0.9187 0.9605 0.3112  4 Sb 3.18-3.47
20 Sr 0.9965 0.7500 0.9643  5 Sb 3.37-3.43
21 Sb 0.0144 0.7500 0.5768  7 Sr 3.18-3.37
22 Sb 0.1715 0.5099 0.0588  8 Sr 3.42-3.60
23 Sb 0.1715 0.9901 0.0588  8 Sr 3.42-3.60
24 Sb 0.3285 0.0099 0.5588  8 Sr 3.42-3.60
25 Sb 0.3285 0.4901 0.5588  8 Sr 3.42-3.60
26 Sb 0.4856 0.2500 0.0768  7 Sr 3.18-3.37
27 Sb 0.5144 0.7500 0.9232  7 Sr 3.18-3.37
28 Sb 0.6715 0.5099 0.4412  8 Sr 3.42-3.60
29 Sb 0.6715 0.9901 0.4412  8 Sr 3.42-3.60
30 Sb 0.8285 0.0099 0.9412  8 Sr 3.42-3.60
31 Sb 0.8285 0.4901 0.9412  8 Sr 3.42-3.60
32 Sb 0.9856 0.2500 0.4232  7 Sr 3.18-3.37

=====

Number 1: density 6.567 g/cm³. Number 2: density 8.584 g/cm³. Number 3: density 3.054 g/cm³. Number 4: density 4.661 g/cm³.